Record 1
Material: Cs3NaH
Method: DFT, PBE
State: relaxed

Summary:
Density: 2432 kg/m³
Fermi-level density of states: 5.15 states/eV/f.u.
Total magnetic moment: 0.00 μB/f.u.
ΔE to the lowest computed polymorph: 0 meV/atom

Unit cell a=6.6086 b=6.6086 c=6.6086 alpha=90.00 beta=90.00 gamma=90.00
With the nearest neighbours (Å) after each atom.
Element x y z (fractional)
Cs: 0.0000 0.0000 0.5000  2 H 3.30
Cs: 0.0000 0.5000 0.0000  2 H 3.30
Cs: 0.5000 0.0000 0.0000  2 H 3.30
Na: 0.5000 0.5000 0.5000  12 Cs 4.67
H: 0.0000 0.0000 0.0000  6 Cs 3.30

***

Record 2
Material: CsLaSi2Ag
Method: DFT, PBE
State: relaxed

Summary:
Density: 3456 kg/m³
Energy relative to the elements, uncorrected: 5.186 eV per formula unit
Fermi-level density of states: 6.15 states/eV/f.u.
Total magnetic moment: 0.00 μB/f.u.

Unit cell a=5.5225 b=5.5225 c=6.8673 alpha=90.00 beta=90.00 gamma=90.00
With the nearest neighbours (Å) after each atom.
Element x y z (fractional)
Cs: 0.0000 0.0000 0.0000  2 La 3.43
La: 0.0000 0.0000 0.5000  4 Si 2.76
Si: 0.0000 0.5000 0.5000  2 La 2.76
Si: 0.5000 0.0000 0.5000  2 La 2.76
Ag: 0.5000 0.5000 0.0000  4 Cs 3.90

***

Record 3
Material: GeTeW
Method: DFT, PBE
State: relaxed

Summary:
Density: 8661 kg/m³
Energy relative to the elements, uncorrected: 0.871 eV per formula unit
Fermi-level density of states: 0.99 states/eV/f.u.
Total magnetic moment: 0.00 μB/f.u.
ΔE to the lowest computed polymorph: 86 meV/atom

Unit cell a=7.1461 b=7.1461 c=6.5682 alpha=99.24 beta=99.24 gamma=26.43
With the nearest neighbours (Å) after each atom.
Element x y z (fractional)
Ge: 0.0000 0.0000 0.0000  1 Ge 2.46, 2 W 2.57
Ge: 0.1705 0.1705 0.1735  1 Ge 2.46, 2 W 2.55
Te: 0.4544 0.4544 0.4529  3 W 2.69-2.87
Te: 0.7569 0.7569 0.7331  3 W 2.76-2.82
W: 0.3600 0.3600 0.0296  2 Ge 2.57, 3 Te 2.76-2.87, 2 W 2.78
W: 0.8026 0.8026 0.3302  2 Ge 2.55, 3 Te 2.69-2.82, 2 W 2.78